#i
A relaxed structure of LiCoCl2. Source: Alexandria via LeMat-Bulk, functional GGA-PBE.

POSCAR file:
```
LiCoCl2
1.0
3.8074 0.0399 0.0000
-2.2767 3.0520 0.0000
0.0000 0.0000 6.7431
Cl Co Li
2 1 1
direct
0.0000 0.0000 0.4960
0.0000 0.0000 0.0040
0.5000 0.5000 0.2500
0.5000 0.5000 0.7500
```

Properties
- Mass density: 2.88 g/cm³
- Density of states at the Fermi level: 4.7 states/eV per cell
- Space group: Cmmm (65)

---

#ii
A relaxed structure of LiCoCl2. Source: Alexandria via LeMat-Bulk, functional GGA-PBE.

POSCAR file:
```
LiCoCl2
1.0
2.1803 -3.8626 0.6440
2.2711 -0.6843 3.8029
-1.5134 -2.9521 3.0138
Li Cl Co
1 2 1
direct
0.0000 0.0000 0.0000
0.7500 0.7500 0.7500
0.2500 0.2500 0.2500
0.5000 0.5000 0.5000
```

Properties
- Mass density: 3.57 g/cm³
- Density of states at the Fermi level: 4.9 states/eV per cell
- Space group: Fm-3m (225)

---

Which structure is the most stable? The one labeled #i.

---

#i
A relaxed structure of LiCoCl2. Source: Alexandria via LeMat-Bulk, functional GGA-PBE.

POSCAR file:
```
LiCoCl2
1.0
-0.8646 1.9457 -4.4964
-3.4445 -1.6132 -0.0358
-2.2230 2.6569 1.5771
Cl Li Co
2 1 1
direct
0.5000 0.3881 0.3879
0.0000 0.8590 0.8592
0.5000 0.7926 0.7925
0.0000 0.4603 0.4604
```

Properties
- Mass density: 3.24 g/cm³
- Density of states at the Fermi level: 0.3 states/eV per cell
- Space group: Amm2 (38)

---

#ii
A relaxed structure of LiCoCl2. Source: Alexandria via LeMat-Bulk, functional GGA-PBE.

POSCAR file:
```
LiCoCl2
1.0
5.4126 0.0000 0.0000
0.0000 5.4126 0.0000
2.7063 2.7063 5.3889
Li Cl Co
2 4 2
direct
0.2500 0.7500 0.5000
0.5000 0.5000 0.0000
0.8750 0.8861 0.7500
0.1139 0.6250 0.2500
0.3750 0.3639 0.7500
0.6361 0.1250 0.2500
0.0000 0.0000 0.0000
0.7500 0.2500 0.5000
```

Properties
- Mass density: 2.88 g/cm³
- Density of states at the Fermi level: 5.9 states/eV per cell
- Space group: I-42d (122)

---

#iii
A relaxed structure of LiCoCl2. Source: Alexandria via LeMat-Bulk, functional GGA-PBE.

POSCAR file:
```
LiCoCl2
1.0
8.3334 0.3175 0.0000
6.7896 4.8423 0.0000
-7.5615 -2.5799 2.3905
Cl Co Li
2 1 1
direct
0.2500 0.7500 0.5000
0.0000 0.0000 0.0000
0.5000 0.5000 0.0000
0.7500 0.2500 0.5000
```

Properties
- Mass density: 2.49 g/cm³
- Density of states at the Fermi level: 3.5 states/eV per cell
- Space group: I-4m2 (119)

---

Which structure is the most stable? The one labeled #ii.

---

#i
A relaxed structure of LiCoP2Cl. Source: Alexandria via LeMat-Bulk, functional GGA-PBE.

POSCAR file:
```
LiCoP2Cl
1.0
4.0610 0.0000 0.0000
0.0000 4.0610 0.0000
0.0000 0.0000 8.9088
Co Cl P Li
1 1 2 1
direct
0.0000 0.0000 0.0000
0.0000 0.0000 0.5000
0.0000 0.5000 0.0000
0.5000 0.0000 0.0000
0.5000 0.5000 0.5000
```

Properties
- Mass density: 1.85 g/cm³
- Density of states at the Fermi level: 2.1 states/eV per cell
- Space group: P4/mmm (123)

---

#ii
A relaxed structure of LiCoP2Cl. Source: Alexandria via LeMat-Bulk, functional GGA-PBE.

POSCAR file:
```
LiCoP2Cl
1.0
-2.1146 2.6813 2.5326
-3.4793 -0.4816 -2.3953
-1.3019 -3.4723 2.5891
Li P Cl Co
1 2 1 1
direct
0.0000 0.0000 0.0000
0.5000 0.0000 0.0000
0.0000 0.5000 0.0000
0.0000 0.0000 0.5000
0.5000 0.5000 0.5000
```

Properties
- Mass density: 3.32 g/cm³
- Density of states at the Fermi level: 5.4 states/eV per cell
- Space group: P4/mmm (123)

---

Which structure is the most stable? The one labeled #i.